{
  "formula": "DyPaI6",
  "functional": "PBE",
  "state": "optimized geometry",
  "lattice": [[3.757, -7.395, 0.000], [3.757, 7.395, 0.000], [-2.537, 0.000, 7.074]],
  "species": ["Dy", "Pa", "I", "I", "I", "I", "I", "I"],
  "fractional_positions": [[0.000, 0.000, 0.000], [0.500, 0.500, 0.500], [0.097, 0.394, 0.245], [0.248, 0.248, 0.752], [0.394, 0.097, 0.245], [0.606, 0.903, 0.755], [0.752, 0.752, 0.248], [0.903, 0.606, 0.755]],
  "e_form_raw_ev_per_fu": -8.5,
  "m_tot_mub_per_atom": 0.25
}